*P*
A plane-wave DFT calculation with GGA-PBE was carried out for an optimized crystal structure of Ce5Bi2C.

a b c (Å): 7.0174 7.0174 8.8549
angles (deg): 90.00 90.00 90.00
With the nearest neighbours (Å) after each atom.
Space group I4mm (No. 107)
Inequivalent atoms, fractional coordinates:
Ce1 0.0000 0.0000 0.0000 (multiplicity 2)  1 C 2.47
Ce2 0.2425 0.2425 0.6674 (multiplicity 8)  1 C 2.45
Bi1 0.0000 0.5000 0.4193 (multiplicity 4)  10 Ce 3.31-3.58
C1 0.0000 0.0000 0.7206 (multiplicity 2)  5 Ce 2.45-2.47



*Q*
A plane-wave DFT calculation with GGA-PBE was carried out for an optimized crystal structure of Ce5Bi2C.

a b c (Å): 5.5477 16.4165 12.5988
angles (deg): 90.00 90.00 90.00
With the nearest neighbours (Å) after each atom.
Space group Cmcm (No. 63)
Inequivalent atoms, fractional coordinates:
Ce1 0.0000 0.0737 0.1455 (multiplicity 8)  1 C 2.43, 1 Ce 2.63
Ce2 0.0000 0.2841 0.0897 (multiplicity 8)  1 C 2.46
Ce3 0.0000 0.2983 0.7500 (multiplicity 4)  2 C 2.77
Bi1 0.0000 0.1264 0.5998 (multiplicity 8)  5 Ce 3.14-3.40
C1 0.0000 0.1983 0.2500 (multiplicity 4)  4 Ce 2.43-2.46



Verdict on stability: *Q* comes out at the bottom.



*P*
A plane-wave DFT calculation with GGA-PBE was carried out for an optimized crystal structure of Bi2CCl.

a b c (Å): 6.9581 6.9581 6.9581
angles (deg): 90.00 90.00 90.00
With the nearest neighbours (Å) after each atom.
Space group Fm-3m (No. 225)
Inequivalent atoms, fractional coordinates:
Bi1 0.2500 0.2500 0.2500 (multiplicity 8)  4 C 3.01, 4 Cl 3.01
C1 0.0000 0.0000 0.0000 (multiplicity 4)  8 Bi 3.01
Cl1 0.0000 0.0000 0.5000 (multiplicity 4)  8 Bi 3.01



*Q*
A plane-wave DFT calculation with GGA-PBE was carried out for an optimized crystal structure of Bi2CCl.

a b c (Å): 6.6020 6.6020 10.5619
angles (deg): 90.00 90.00 90.00
With the nearest neighbours (Å) after each atom.
Space group I-42d (No. 122)
Inequivalent atoms, fractional coordinates:
Bi1 0.1638 0.2500 0.1250 (multiplicity 8)  2 C 2.37
C1 0.0000 0.0000 0.0000 (multiplicity 4)  4 Bi 2.37
Cl1 0.0000 0.0000 0.5000 (multiplicity 4)  4 Bi 3.06



Verdict on stability: *P* comes out at the bottom.



*P*
A plane-wave DFT calculation with GGA-PBE was carried out for an optimized crystal structure of BiCCl2.

a b c (Å): 6.8864 6.8864 6.8864
angles (deg): 90.00 90.00 90.00
With the nearest neighbours (Å) after each atom.
Space group Fm-3m (No. 225)
Inequivalent atoms, fractional coordinates:
Bi1 0.0000 0.0000 0.0000 (multiplicity 4)  8 Cl 2.98
C1 0.0000 0.0000 0.5000 (multiplicity 4)  8 Cl 2.98
Cl1 0.2500 0.2500 0.2500 (multiplicity 8)  4 Bi 2.98, 4 C 2.98



*Q*
A plane-wave DFT calculation with GGA-PBE was carried out for an optimized crystal structure of BiCCl2.

a b c (Å): 3.3054 3.3054 33.0099
angles (deg): 90.00 90.00 120.00
With the nearest neighbours (Å) after each atom.
Space group R-3m (No. 166, hexagonal axes)
Inequivalent atoms, fractional coordinates:
Bi1 0.0000 0.0000 0.0000 (multiplicity 3)  6 Bi 3.31
C1 0.0000 0.0000 0.5000 (multiplicity 3)  6 Cl 2.32
Cl1 0.0000 0.0000 0.1265 (multiplicity 6)  3 C 2.32



Verdict on stability: *P* comes out at the bottom.



*P*
A plane-wave DFT calculation with GGA-PBE was carried out for an optimized crystal structure of BiCCl2.

a b c (Å): 6.4246 6.4246 9.1484
angles (deg): 90.00 90.00 90.00
With the nearest neighbours (Å) after each atom.
Space group I4_1/amd (No. 141, origin choice 2)
Inequivalent atoms, fractional coordinates:
Bi1 0.0000 0.2500 0.3750 (multiplicity 4)  12 Cl 3.77-3.79, 4 Bi 3.94, 4 C 3.94
C1 0.0000 0.2500 0.8750 (multiplicity 4)  4 Cl 1.97
Cl1 0.0000 0.0000 0.0000 (multiplicity 8)  2 C 1.97



*Q*
A plane-wave DFT calculation with GGA-PBE was carried out for an optimized crystal structure of BiCCl2.

a b c (Å): 3.4355 3.4355 26.7854
angles (deg): 90.00 90.00 120.00
With the nearest neighbours (Å) after each atom.
Space group R-3m (No. 166, hexagonal axes)
Inequivalent atoms, fractional coordinates:
Bi1 0.0000 0.0000 0.0000 (multiplicity 3)  6 Cl 3.10, 6 Bi 3.44
C1 0.0000 0.0000 0.5000 (multiplicity 3)  2 Cl 2.08
Cl1 0.0000 0.0000 0.4222 (multiplicity 6)  1 C 2.08



Verdict on stability: *Q* comes out at the bottom.



*P*
A plane-wave DFT calculation with GGA-PBE was carried out for an optimized crystal structure of BiCSCl2.

a b c (Å): 4.4580 4.4580 4.4919
angles (deg): 90.00 90.00 90.00
With the nearest neighbours (Å) after each atom.
Space group P4/mmm (No. 123)
Inequivalent atoms, fractional coordinates:
Bi1 0.0000 0.0000 0.0000 (multiplicity 1)  4 S 3.15, 8 Cl 3.16
C1 0.5000 0.5000 0.5000 (multiplicity 1)  4 Cl 2.23, 2 S 2.25
S1 0.5000 0.5000 0.0000 (multiplicity 1)  2 C 2.25
Cl1 0.0000 0.5000 0.5000 (multiplicity 2)  2 C 2.23



*Q*
A plane-wave DFT calculation with GGA-PBE was carried out for an optimized crystal structure of BiCSCl2.

a b c (Å): 5.3509 5.3509 5.4447
angles (deg): 90.00 90.00 90.00
With the nearest neighbours (Å) after each atom.
Space group P4/mmm (No. 123)
Inequivalent atoms, fractional coordinates:
Bi1 0.0000 0.0000 0.0000 (multiplicity 1)  4 Cl 2.68, 2 S 2.72
C1 0.5000 0.5000 0.5000 (multiplicity 1)  4 S 3.78, 8 Cl 3.82
S1 0.0000 0.0000 0.5000 (multiplicity 1)  2 Bi 2.72
Cl1 0.0000 0.5000 0.0000 (multiplicity 2)  2 Bi 2.68



Verdict on stability: *Q* comes out at the bottom.



*P*
A plane-wave DFT calculation with GGA-PBE was carried out for an optimized crystal structure of CoBiC3.

a b c (Å): 4.4138 4.4138 4.4138
angles (deg): 90.00 90.00 90.00
With the nearest neighbours (Å) after each atom.
Space group Pm-3m (No. 221)
Inequivalent atoms, fractional coordinates:
Co1 0.0000 0.0000 0.0000 (multiplicity 1)  12 C 3.12
Bi1 0.5000 0.5000 0.5000 (multiplicity 1)  6 C 2.21
C1 0.0000 0.5000 0.5000 (multiplicity 3)  2 Bi 2.21



*Q*
A plane-wave DFT calculation with GGA-PBE was carried out for an optimized crystal structure of CoBiC3.

a b c (Å): 3.9132 3.9132 3.9132
angles (deg): 90.00 90.00 90.00
With the nearest neighbours (Å) after each atom.
Space group Pm-3m (No. 221)
Inequivalent atoms, fractional coordinates:
Co1 0.0000 0.0000 0.0000 (multiplicity 1)  6 C 1.96
Bi1 0.5000 0.5000 0.5000 (multiplicity 1)  12 C 2.77
C1 0.0000 0.0000 0.5000 (multiplicity 3)  2 Co 1.96



Verdict on stability: *P* comes out at the bottom.



*P*
A plane-wave DFT calculation with GGA-PBE was carried out for an optimized crystal structure of Cs2Bi2C.

a b c (Å): 11.4405 11.4405 3.6551
angles (deg): 90.00 90.00 90.00
With the nearest neighbours (Å) after each atom.
Space group P4/mbm (No. 127)
Inequivalent atoms, fractional coordinates:
Cs1 0.2044 0.2956 0.0000 (multiplicity 4)  2 Cs 3.66, 6 Bi 3.80-4.05
Bi1 0.0897 0.5897 0.5000 (multiplicity 4)  1 Bi 2.90
C1 0.0000 0.0000 0.0000 (multiplicity 2)  2 C 3.66



*Q*
A plane-wave DFT calculation with GGA-PBE was carried out for an optimized crystal structure of Cs2Bi2C.

a b c (Å): 4.5011 4.5011 21.4329
angles (deg): 90.00 90.00 90.00
With the nearest neighbours (Å) after each atom.
Space group I4/mmm (No. 139)
Inequivalent atoms, fractional coordinates:
Cs1 0.0000 0.0000 0.0901 (multiplicity 4)  4 C 3.72, 1 Cs 3.86, 4 Bi 4.10
Bi1 0.0000 0.5000 0.2500 (multiplicity 4)  4 Bi 3.18
C1 0.0000 0.0000 0.5000 (multiplicity 2)  8 Cs 3.72



Verdict on stability: *P* comes out at the bottom.



*P*
A plane-wave DFT calculation with GGA-PBE was carried out for an optimized crystal structure of CsBi3C.

a b c (Å): 6.5016 6.5016 6.5016
angles (deg): 90.00 90.00 90.00
With the nearest neighbours (Å) after each atom.
Space group Pm-3m (No. 221)
Inequivalent atoms, fractional coordinates:
Cs1 0.0000 0.0000 0.0000 (multiplicity 1)  6 Bi 3.25
Bi1 0.0000 0.0000 0.5000 (multiplicity 3)  2 Cs 3.25
C1 0.5000 0.5000 0.5000 (multiplicity 1)  12 Bi 4.60



*Q*
A plane-wave DFT calculation with GGA-PBE was carried out for an optimized crystal structure of CsBi3C.

a b c (Å): 5.3170 5.3170 5.3170
angles (deg): 90.00 90.00 90.00
With the nearest neighbours (Å) after each atom.
Space group Pm-3m (No. 221)
Inequivalent atoms, fractional coordinates:
Cs1 0.0000 0.0000 0.0000 (multiplicity 1)  12 Bi 3.76
Bi1 0.0000 0.5000 0.5000 (multiplicity 3)  2 C 2.66
C1 0.5000 0.5000 0.5000 (multiplicity 1)  6 Bi 2.66



Verdict on stability: *P* comes out at the bottom.